Crystalline YThInHg at its relaxed geometry. Source: the Alexandria database, functional GGA-PBE.

Results
ΔE_f ... -343 meV per atom
DOS(E_F) ... 0.9906 states/eV/atom

Geometry as extended XYZ:
```
4
Lattice="5.388 0.000 0.000 2.694 4.666 0.000 2.694 1.555 4.399" Properties=species:S:1:pos:R:3 pbc="T T T"
In 8.082 4.666 3.300
Th 0.000 0.000 0.000
Hg 2.694 1.555 1.100
Y 5.388 3.111 2.200
```